1.
# Dy3Al2

A crystal of Dy3Al2 relaxed with PBEsol (meta-GGA SCAN, Alexandria via LeMat-Bulk).

a b c (Å): 8.131 8.131 7.479
angles (deg): 90.00 90.00 90.00
Sites, in units of the cell vectors:
Dy  0.000  0.500  0.250
Dy  0.000  0.500  0.750
Dy  0.148  0.148  0.000
Dy  0.202  0.202  0.500
Dy  0.298  0.702  0.000
Dy  0.352  0.648  0.500
Dy  0.500  0.000  0.250
Dy  0.500  0.000  0.750
Dy  0.648  0.352  0.500
Dy  0.702  0.298  0.000
Dy  0.798  0.798  0.500
Dy  0.852  0.852  0.000
Al  0.120  0.880  0.307
Al  0.120  0.880  0.693
Al  0.380  0.380  0.193
Al  0.380  0.380  0.807
Al  0.620  0.620  0.193
Al  0.620  0.620  0.807
Al  0.880  0.120  0.307
Al  0.880  0.120  0.693

Calculated total energy (eV per atom): -32.1219
Total moment (μB per cell): 0.0
DOS at the Fermi energy (states/eV per cell): 20.36



2.
# DyAl3

A crystal of DyAl3 relaxed with PBEsol (meta-GGA SCAN, Alexandria via LeMat-Bulk).

a b c (Å): 9.298 9.298 9.298
angles (deg): 154.12 154.12 36.92
Sites, in units of the cell vectors:
Dy  0.120  0.120  0.000
Dy  0.880  0.880  0.000
Al  0.000  0.500  0.500
Al  0.250  0.750  0.500
Al  0.372  0.372  0.000
Al  0.500  0.000  0.500
Al  0.628  0.628  0.000
Al  0.750  0.250  0.500

Calculated total energy (eV per atom): -18.1313
Total moment (μB per cell): 0.0
DOS at the Fermi energy (states/eV per cell): 3.65



3.
# DyAl3

A crystal of DyAl3 relaxed with PBEsol (meta-GGA SCAN, Alexandria via LeMat-Bulk).

a b c (Å): 6.049 6.049 9.478
angles (deg): 90.00 90.00 120.00
Sites, in units of the cell vectors:
Dy  0.000  0.000  0.000
Dy  0.000  0.000  0.500
Dy  0.333  0.667  0.250
Dy  0.667  0.333  0.750
Al  0.000  0.500  0.000
Al  0.000  0.500  0.500
Al  0.182  0.363  0.750
Al  0.182  0.818  0.750
Al  0.363  0.182  0.250
Al  0.500  0.000  0.000
Al  0.500  0.000  0.500
Al  0.500  0.500  0.000
Al  0.500  0.500  0.500
Al  0.637  0.818  0.750
Al  0.818  0.182  0.250
Al  0.818  0.637  0.250

Calculated total energy (eV per atom): -18.2197
Total moment (μB per cell): 0.0
DOS at the Fermi energy (states/eV per cell): 3.23



4.
# DyAl3

A crystal of DyAl3 relaxed with PBEsol (meta-GGA SCAN, Alexandria via LeMat-Bulk).

a b c (Å): 5.396 5.396 5.396
angles (deg): 134.76 134.76 65.90
Sites, in units of the cell vectors:
Dy  0.000  0.000  0.000
Al  0.250  0.750  0.500
Al  0.500  0.500  0.000
Al  0.750  0.250  0.500

Calculated total energy (eV per atom): -18.0542
Total moment (μB per cell): 0.0
DOS at the Fermi energy (states/eV per cell): 2.30



5.
# DyAl3

A crystal of DyAl3 relaxed with PBEsol (meta-GGA SCAN, Alexandria via LeMat-Bulk).

a b c (Å): 4.214 4.214 4.214
angles (deg): 90.00 90.00 90.00
Sites, in units of the cell vectors:
Dy  0.000  0.000  0.000
Al  0.000  0.500  0.500
Al  0.500  0.000  0.500
Al  0.500  0.500  0.000

Calculated total energy (eV per atom): -18.2104
Total moment (μB per cell): 0.0
DOS at the Fermi energy (states/eV per cell): 1.20



6.
# Dy2Al

A crystal of Dy2Al relaxed with PBEsol (meta-GGA SCAN, Alexandria via LeMat-Bulk).

a b c (Å): 6.429 5.031 9.347
angles (deg): 90.00 90.00 90.00
Sites, in units of the cell vectors:
Dy  0.028  0.250  0.210
Dy  0.188  0.250  0.573
Dy  0.312  0.750  0.073
Dy  0.472  0.750  0.710
Dy  0.528  0.250  0.290
Dy  0.688  0.250  0.927
Dy  0.812  0.750  0.427
Dy  0.972  0.750  0.790
Al  0.207  0.250  0.898
Al  0.293  0.750  0.398
Al  0.707  0.250  0.602
Al  0.793  0.750  0.102

Calculated total energy (eV per atom): -34.7633
Total moment (μB per cell): 0.2
DOS at the Fermi energy (states/eV per cell): 8.63



7.
# DyErAl4

A crystal of DyErAl4 relaxed with PBEsol (meta-GGA SCAN, Alexandria via LeMat-Bulk).

a b c (Å): 5.492 5.492 5.492
angles (deg): 60.00 60.00 60.00
Sites, in units of the cell vectors:
Dy  0.000  0.000  0.000
Er  0.250  0.250  0.250
Al  0.125  0.625  0.625
Al  0.625  0.125  0.625
Al  0.625  0.625  0.125
Al  0.625  0.625  0.625

Calculated total energy (eV per atom): -22.0668
Total moment (μB per cell): 0.0
DOS at the Fermi energy (states/eV per cell): 4.58



8.
# DyAl10Fe2

A crystal of DyAl10Fe2 relaxed with PBEsol (meta-GGA SCAN, Alexandria via LeMat-Bulk).

a b c (Å): 6.699 6.699 8.885
angles (deg): 90.00 90.00 97.29
Sites, in units of the cell vectors:
Dy  0.126  0.874  0.750
Dy  0.874  0.126  0.250
Al  0.133  0.415  0.750
Al  0.158  0.842  0.097
Al  0.158  0.842  0.403
Al  0.220  0.477  0.250
Al  0.227  0.227  0.000
Al  0.227  0.227  0.500
Al  0.375  0.625  0.550
Al  0.375  0.625  0.950
Al  0.415  0.133  0.250
Al  0.477  0.220  0.750
Al  0.523  0.780  0.250
Al  0.585  0.867  0.750
Al  0.625  0.375  0.050
Al  0.625  0.375  0.450
Al  0.773  0.773  0.000
Al  0.773  0.773  0.500
Al  0.780  0.523  0.750
Al  0.842  0.158  0.597
Al  0.842  0.158  0.903
Al  0.867  0.585  0.250
Fe  0.000  0.500  0.000
Fe  0.000  0.500  0.500
Fe  0.500  0.000  0.000
Fe  0.500  0.000  0.500

Calculated total energy (eV per atom): -12.7679
Total moment (μB per cell): 0.0
DOS at the Fermi energy (states/eV per cell): 9.71



9.
# DyAl8Fe4

A crystal of DyAl8Fe4 relaxed with PBEsol (meta-GGA SCAN, Alexandria via LeMat-Bulk).

a b c (Å): 6.570 6.570 6.570
angles (deg): 98.22 98.22 135.58
Sites, in units of the cell vectors:
Dy  0.000  0.000  0.000
Al  0.000  0.340  0.340
Al  0.000  0.660  0.660
Al  0.280  0.500  0.780
Al  0.340  0.000  0.340
Al  0.500  0.280  0.780
Al  0.500  0.720  0.220
Al  0.660  0.000  0.660
Al  0.720  0.500  0.220
Fe  0.000  0.000  0.500
Fe  0.000  0.500  0.000
Fe  0.500  0.000  0.000
Fe  0.500  0.500  0.500

Calculated total energy (eV per atom): -14.4916
Total moment (μB per cell): 6.6
DOS at the Fermi energy (states/eV per cell): 5.97



10.
# Dy2Al3Fe

A crystal of Dy2Al3Fe relaxed with PBEsol (meta-GGA SCAN, Alexandria via LeMat-Bulk).

a b c (Å): 5.323 5.323 5.323
angles (deg): 61.64 61.64 61.64
Sites, in units of the cell vectors:
Dy  0.126  0.126  0.126
Dy  0.874  0.874  0.874
Al  0.000  0.500  0.500
Al  0.500  0.000  0.500
Al  0.500  0.500  0.000
Fe  0.500  0.500  0.500

Calculated total energy (eV per atom): -23.2902
Total moment (μB per cell): 2.5
DOS at the Fermi energy (states/eV per cell): 4.09



11.
# Dy5Mg5Al12Fe4Si6

A crystal of Dy5Mg5Al12Fe4Si6 relaxed with PBEsol (meta-GGA SCAN, Alexandria via LeMat-Bulk).

a b c (Å): 11.770 11.770 3.947
angles (deg): 90.00 90.00 90.00
Sites, in units of the cell vectors:
Dy  0.000  0.000  0.000
Dy  0.253  0.500  0.000
Dy  0.500  0.253  0.000
Dy  0.500  0.747  0.000
Dy  0.747  0.500  0.000
Mg  0.201  0.201  0.000
Mg  0.201  0.799  0.000
Mg  0.500  0.500  0.500
Mg  0.799  0.201  0.000
Mg  0.799  0.799  0.000
Al  0.113  0.373  0.500
Al  0.113  0.627  0.500
Al  0.332  0.332  0.500
Al  0.332  0.668  0.500
Al  0.373  0.113  0.500
Al  0.373  0.887  0.500
Al  0.627  0.113  0.500
Al  0.627  0.887  0.500
Al  0.668  0.332  0.500
Al  0.668  0.668  0.500
Al  0.887  0.373  0.500
Al  0.887  0.627  0.500
Fe  0.000  0.305  0.000
Fe  0.000  0.695  0.000
Fe  0.305  0.000  0.000
Fe  0.695  0.000  0.000
Si  0.000  0.188  0.500
Si  0.000  0.500  0.000
Si  0.000  0.812  0.500
Si  0.188  0.000  0.500
Si  0.500  0.000  0.000
Si  0.812  0.000  0.500

Calculated total energy (eV per atom): -15.6419
Total moment (μB per cell): 0.0
DOS at the Fermi energy (states/eV per cell): 10.37
Formation energy from raw total energies (eV per atom): -0.35



12.
# Dy3AlFeS7

A crystal of Dy3AlFeS7 relaxed with PBEsol (meta-GGA SCAN, Alexandria via LeMat-Bulk).

a b c (Å): 9.286 9.286 6.120
angles (deg): 90.00 90.00 120.00
Sites, in units of the cell vectors:
Dy  0.166  0.375  0.000
Dy  0.208  0.834  0.000
Dy  0.375  0.208  0.500
Dy  0.625  0.792  0.000
Dy  0.792  0.166  0.500
Dy  0.834  0.625  0.500
Al  0.333  0.667  0.427
Al  0.667  0.333  0.927
Fe  0.000  0.000  0.349
Fe  0.000  0.000  0.849
S  0.081  0.556  0.277
S  0.098  0.218  0.602
S  0.119  0.902  0.602
S  0.218  0.119  0.102
S  0.333  0.667  0.789
S  0.444  0.525  0.277
S  0.475  0.919  0.277
S  0.525  0.081  0.777
S  0.556  0.475  0.777
S  0.667  0.333  0.289
S  0.782  0.881  0.602
S  0.881  0.098  0.102
S  0.902  0.782  0.102
S  0.919  0.444  0.777

Calculated total energy (eV per atom): -21.5279
Total moment (μB per cell): 0.1
Formation energy from raw total energies (eV per atom): -1.81



13.
# GdDyAl4

A crystal of GdDyAl4 relaxed with PBEsol (meta-GGA SCAN, Alexandria via LeMat-Bulk).

a b c (Å): 5.521 5.521 5.521
angles (deg): 60.00 60.00 60.00
Sites, in units of the cell vectors:
Gd  0.000  0.000  0.000
Dy  0.750  0.750  0.750
Al  0.375  0.375  0.375
Al  0.375  0.375  0.875
Al  0.375  0.875  0.375
Al  0.875  0.375  0.375

Calculated total energy (eV per atom): -23.4944
Total moment (μB per cell): 8.0
DOS at the Fermi energy (states/eV per cell): 1.86



14.
# DyAl2Ge2

A crystal of DyAl2Ge2 relaxed with PBEsol (meta-GGA SCAN, Alexandria via LeMat-Bulk).

a b c (Å): 4.226 4.226 6.523
angles (deg): 90.00 90.00 120.00
Sites, in units of the cell vectors:
Dy  0.000  0.000  0.000
Al  0.333  0.667  0.647
Al  0.667  0.333  0.353
Ge  0.333  0.667  0.255
Ge  0.667  0.333  0.745

Calculated total energy (eV per atom): -20.7548
Total moment (μB per cell): 0.0
DOS at the Fermi energy (states/eV per cell): 1.56



15.
# DyAlGe

A crystal of DyAlGe relaxed with PBEsol (meta-GGA SCAN, Alexandria via LeMat-Bulk).

a b c (Å): 5.517 5.517 5.706
angles (deg): 90.00 90.00 137.22
Sites, in units of the cell vectors:
Dy  0.191  0.809  0.750
Dy  0.809  0.191  0.250
Al  0.500  0.500  0.000
Al  0.500  0.500  0.500
Ge  0.106  0.894  0.250
Ge  0.894  0.106  0.750

Calculated total energy (eV per atom): -25.5949
Total moment (μB per cell): 0.0
DOS at the Fermi energy (states/eV per cell): 1.73



16.
# DyHoAl4

A crystal of DyHoAl4 relaxed with PBEsol (meta-GGA SCAN, Alexandria via LeMat-Bulk).

a b c (Å): 5.500 5.500 5.500
angles (deg): 60.00 60.00 60.00
Sites, in units of the cell vectors:
Dy  0.000  0.000  0.000
Ho  0.750  0.750  0.750
Al  0.375  0.375  0.375
Al  0.375  0.375  0.875
Al  0.375  0.875  0.375
Al  0.875  0.375  0.375

Calculated total energy (eV per atom): -21.8448
Total moment (μB per cell): 0.1
DOS at the Fermi energy (states/eV per cell): 4.61



17.
# Dy2Al9Ir3

A crystal of Dy2Al9Ir3 relaxed with PBEsol (meta-GGA SCAN, Alexandria via LeMat-Bulk).

a b c (Å): 7.485 7.485 9.384
angles (deg): 90.00 90.00 60.52
Sites, in units of the cell vectors:
Dy  0.005  0.672  0.750
Dy  0.328  0.995  0.750
Dy  0.672  0.005  0.250
Dy  0.995  0.328  0.250
Al  0.001  0.665  0.075
Al  0.001  0.665  0.425
Al  0.129  0.871  0.250
Al  0.333  0.667  0.552
Al  0.333  0.667  0.948
Al  0.335  0.999  0.075
Al  0.335  0.999  0.425
Al  0.340  0.450  0.250
Al  0.450  0.340  0.750
Al  0.550  0.660  0.250
Al  0.660  0.550  0.750
Al  0.665  0.001  0.575
Al  0.665  0.001  0.925
Al  0.667  0.333  0.052
Al  0.667  0.333  0.448
Al  0.871  0.129  0.750
Al  0.999  0.335  0.575
Al  0.999  0.335  0.925
Ir  0.000  0.000  0.000
Ir  0.000  0.000  0.500
Ir  0.328  0.328  0.000
Ir  0.328  0.328  0.500
Ir  0.672  0.672  0.000
Ir  0.672  0.672  0.500

Calculated total energy (eV per atom): -28.0651
Total moment (μB per cell): 0.0
DOS at the Fermi energy (states/eV per cell): 9.25



18.
# LiDy2Al

A crystal of LiDy2Al relaxed with PBEsol (meta-GGA SCAN, Alexandria via LeMat-Bulk).

a b c (Å): 5.083 5.083 5.083
angles (deg): 60.00 60.00 60.00
Sites, in units of the cell vectors:
Li  0.000  0.000  0.000
Dy  0.250  0.250  0.250
Dy  0.750  0.750  0.750
Al  0.500  0.500  0.500

Calculated total energy (eV per atom): -26.6511
Total moment (μB per cell): 0.0
DOS at the Fermi energy (states/eV per cell): 3.35



19.
# Dy2MgAl

A crystal of Dy2MgAl relaxed with PBEsol (meta-GGA SCAN, Alexandria via LeMat-Bulk).

a b c (Å): 5.130 5.130 5.130
angles (deg): 60.00 60.00 60.00
Sites, in units of the cell vectors:
Dy  0.250  0.250  0.250
Dy  0.750  0.750  0.750
Mg  0.000  0.000  0.000
Al  0.500  0.500  0.500

Calculated total energy (eV per atom): -27.3660
Total moment (μB per cell): 0.0
DOS at the Fermi energy (states/eV per cell): 2.31



20.
# DyMn6Al6

A crystal of DyMn6Al6 relaxed with PBEsol (meta-GGA SCAN, Alexandria via LeMat-Bulk).

a b c (Å): 6.477 6.477 6.477
angles (deg): 135.82 98.85 97.41
Sites, in units of the cell vectors:
Dy  0.000  0.000  0.000
Mn  0.000  0.000  0.500
Mn  0.000  0.500  0.000
Mn  0.240  0.740  0.500
Mn  0.500  0.000  0.000
Mn  0.500  0.500  0.500
Mn  0.760  0.260  0.500
Al  0.195  0.500  0.695
Al  0.341  0.341  0.000
Al  0.347  0.000  0.347
Al  0.653  0.000  0.653
Al  0.659  0.659  0.000
Al  0.805  0.500  0.305

Calculated total energy (eV per atom): -16.0263
Total moment (μB per cell): 4.4
DOS at the Fermi energy (states/eV per cell): 9.10